First-principles (PBE) data for a geometry-optimized MnSn3Ge structure, as listed in Alexandria.

abc: 5.031 5.031 5.031
angles: 90.00 90.00 90.00
Positions (direct):
Mn1 0.000 0.000 0.000
Sn1 0.000 0.000 0.500
Sn2 0.000 0.500 0.000
Sn3 0.500 0.000 0.000
Ge1 0.500 0.500 0.500

ΔH_f (0 K), eV per atom: 0.35
DFT total energy, eV/f.u.: -24.02
Space-group type: Pm-3m, No. 221
Crystal system: cubic

---

First-principles (PBE) data for a geometry-optimized MgGaGe structure, as listed in Alexandria.

abc: 2.843 4.887 4.887
angles: 57.22 90.00 90.00
Positions (direct):
Mg1 0.000 0.000 0.000
Ga1 0.500 0.665 0.665
Ge1 0.500 0.337 0.337

ΔH_f (0 K), eV per atom: -0.04
DFT total energy, eV/f.u.: -9.37
Space-group type: Amm2, No. 38
Crystal system: orthorhombic

---

First-principles (PBE) data for a geometry-optimized CoTcRu2 structure, as listed in Alexandria.

abc: 2.684 3.732 5.329
angles: 90.00 90.09 90.00
Positions (direct):
Co1 0.000 0.000 0.000
Tc1 0.000 0.000 0.500
Ru1 0.500 0.500 0.239
Ru2 0.500 0.500 0.761

ΔH_f (0 K), eV per atom: 0.12
DFT total energy, eV/f.u.: -35.55
Space-group type: P2/m, No. 10
Crystal system: monoclinic

---

| no. | relative energy among the computed polymorphs (meV per atom) |
| --- | --- |
| 1 | 0.0 |
| 2 | 16.7 |
| 3 | 31.6 |